1.
An optimized crystal structure of BiSO5. Source: the Alexandria database, functional PBE.

Lattice parameters (Å, degrees): 4.2065 7.0480 7.0480 90.00 90.00 90.00
Closest atoms and distances in Å follow each position.
Sites, in units of the cell vectors:
O  0.7109  0.3302  0.5000  1 S 1.49
Bi  0.6729  0.0000  0.5000  6 O 2.10-2.33
O  0.2891  0.8302  0.0000  1 S 1.49
O  0.2891  0.5000  0.3302  1 S 1.49
Bi  0.3271  0.5000  0.0000  6 O 2.10-2.33
O  0.7109  0.0000  0.8302  1 S 1.49
S  0.5000  0.5000  0.5000  4 O 1.49
O  0.8281  0.5000  0.0000  2 Bi 2.10-2.11
O  0.7109  0.0000  0.1698  1 S 1.49
O  0.7109  0.6698  0.5000  1 S 1.49
S  0.5000  0.0000  0.0000  4 O 1.49
O  0.2891  0.5000  0.6698  1 S 1.49
O  0.1719  0.0000  0.5000  2 Bi 2.10-2.11
O  0.2891  0.1698  0.0000  1 S 1.49

Values from the calculation:
The calculation puts the volume at 14.93 Å³ per atom. The raw formation energy comes out at -1.120 eV/atom. The space group is P4/nmm, No. 129.

---

2.
An optimized crystal structure of Sr2AgPbC. Source: the Alexandria database, functional PBE.

Lattice parameters (Å, degrees): 6.4101 5.2606 6.4101 90.00 90.00 90.00
Closest atoms and distances in Å follow each position.
Sites, in units of the cell vectors:
C  0.5000  0.5000  0.5000  8 Sr 4.15, 4 Ag 4.53
Sr  0.5000  0.0000  0.0000  2 Pb 3.21
Sr  0.0000  0.0000  0.5000  2 Pb 3.21
Pb  0.0000  0.0000  0.0000  2 Ag 2.63
Ag  0.0000  0.5000  0.0000  2 Pb 2.63

Values from the calculation:
The calculation puts the volume at 43.23 Å³ per atom. The space group is P4/mmm, No. 123. The value obtained for the formation energy is 1.1664 eV per atom.

---

3.
An optimized crystal structure of SbSeF2. Source: the Alexandria database, functional PBE.

Lattice parameters (Å, degrees): 4.4563 4.4563 4.4563 60.00 60.00 60.00
Closest atoms and distances in Å follow each position.
Sites, in units of the cell vectors:
F  0.2500  0.2500  0.2500  4 Sb 2.73, 4 Se 2.73
F  0.7500  0.7500  0.7500  4 Sb 2.73, 4 Se 2.73
Se  0.0000  0.0000  0.0000  8 F 2.73
Sb  0.5000  0.5000  0.5000  8 F 2.73

Values from the calculation:
The calculation puts the volume at 15.64 Å³ per atom. The raw formation energy comes out at -0.735 eV/atom. The space group is Fm-3m, No. 225.

---

4.
An optimized crystal structure of KFe2Hg. Source: the Alexandria database, functional PBE.

Lattice parameters (Å, degrees): 3.6267 3.6267 7.3511 90.00 90.00 90.00
Closest atoms and distances in Å follow each position.
Sites, in units of the cell vectors:
Hg  0.5000  0.5000  0.2500  8 Fe 2.78
K  0.5000  0.5000  0.7500  4 K 3.63, 8 Fe 3.66, 2 Hg 3.68
Fe  0.0000  0.0000  0.1053  1 Fe 2.13
Fe  0.0000  0.0000  0.3947  1 Fe 2.13

Values from the calculation:
The calculation puts the volume at 24.17 Å³ per atom. The space group is P4/mmm, No. 123. The value obtained for the formation energy is 0.7757 eV per atom.

---

5.
An optimized crystal structure of MgCo2W. Source: the Alexandria database, functional PBE.

Lattice parameters (Å, degrees): 4.3394 4.3394 5.1472 83.95 83.95 35.96
Closest atoms and distances in Å follow each position.
Sites, in units of the cell vectors:
Co  0.0021  0.0021  0.9671  3 W 2.47-2.59, 4 Co 2.61-2.68, 3 Mg 2.64-2.75
W  0.7500  0.7500  0.7500  6 Co 2.47-2.59, 2 W 2.68
Mg  0.2500  0.2500  0.2500  6 Co 2.64-2.75, 2 Mg 2.68, 4 W 2.90
Co  0.4979  0.4979  0.5329  3 W 2.47-2.59, 4 Co 2.61-2.68, 3 Mg 2.64-2.75

Values from the calculation:
The calculation puts the volume at 14.14 Å³ per atom. The space group is C2/m, No. 12. The value obtained for the formation energy is 0.3122 eV per atom.

---

6.
An optimized crystal structure of KYGe3. Source: the Alexandria database, functional PBE.

Lattice parameters (Å, degrees): 5.5165 5.5165 5.5165 90.00 90.00 90.00
Closest atoms and distances in Å follow each position.
Sites, in units of the cell vectors:
K  0.5000  0.5000  0.5000  12 Ge 3.90
Y  0.0000  0.0000  0.0000  6 Ge 2.76
Ge  0.5000  0.0000  0.0000  2 Y 2.76
Ge  0.0000  0.0000  0.5000  2 Y 2.76
Ge  0.0000  0.5000  0.0000  2 Y 2.76

Values from the calculation:
The calculation puts the volume at 33.58 Å³ per atom. The space group is Pm-3m, No. 221. The value obtained for the formation energy is 0.2538 eV per atom.

---

7.
An optimized crystal structure of FeCo2Pd. Source: the Alexandria database, functional PBE.

Lattice parameters (Å, degrees): 2.6339 2.6339 8.4499 81.03 81.03 60.00
Closest atoms and distances in Å follow each position.
Sites, in units of the cell vectors:
Co  0.0879  0.0879  0.7363  3 Fe 2.49, 6 Co 2.63, 3 Pd 2.67
Co  0.2454  0.2454  0.2638  3 Fe 2.48, 6 Co 2.63, 3 Pd 2.66
Fe  0.5004  0.5004  0.4988  6 Co 2.48-2.49, 6 Fe 2.63
Pd  0.6663  0.6663  0.0010  6 Pd 2.63, 6 Co 2.66-2.67

Values from the calculation:
The calculation puts the volume at 12.48 Å³ per atom. The space group is R3m, No. 160. The value obtained for the formation energy is 0.1087 eV per atom.

---

8.
An optimized crystal structure of Cs3Ac2UO6. Source: the Alexandria database, functional PBE.

Lattice parameters (Å, degrees): 6.6518 6.6518 7.4142 98.67 98.67 119.99
Closest atoms and distances in Å follow each position.
Sites, in units of the cell vectors:
O  0.6517  0.9486  0.8474  1 U 2.25
O  0.2454  0.2454  0.8467  1 U 2.25
Ac  0.3334  0.6666  0.0000  6 O 2.58-2.59
Cs  0.8354  0.1646  0.5000  6 O 3.22-3.49
Ac  0.6666  0.3334  0.0000  6 O 2.58-2.59
O  0.0514  0.3483  0.1526  1 U 2.25
Cs  0.5000  0.5000  0.5000  6 O 3.23-3.48
O  0.9486  0.6517  0.8474  1 U 2.25
O  0.3483  0.0514  0.1526  1 U 2.25
U  0.0000  0.0000  0.0000  6 O 2.25
O  0.7546  0.7546  0.1533  1 U 2.25
Cs  0.1646  0.8354  0.5000  6 O 3.22-3.49

Values from the calculation:
The calculation puts the volume at 22.58 Å³ per atom. The raw formation energy comes out at -2.412 eV/atom. The space group is C2/m, No. 12.

---

Calculated N(E_F), 2.02 1.35 1.54 3.58 3.17 2.36 4.72 5.78 states/eV per cell (same order as the records).